AcCeCuPb after structural relaxation. Source: Alexandria, functional PBE.

E = -4.623 eV per atom
Formation energy from the elements = -15.6 kJ per mole of atoms

Cell: 5.536 5.536 5.536 Å, 60.00 60.00 60.00°
Fractional positions:
Ac  0.000  0.000  0.000
Ce  0.500  0.500  0.500
Cu  0.750  0.750  0.750
Pb  0.250  0.250  0.250